# 1
# HPbI3 PBE-GGA optimized geometry
data_HPbI3
_cell_length_a 6.2241
_cell_length_b 6.2241
_cell_length_c 6.2241
_cell_angle_alpha 90.00
_cell_angle_beta 90.00
_cell_angle_gamma 90.00
_space_group_name_H-M_alt 'P 1'
_space_group_IT_number 1
_space_group_name_Hall 'P 1'
loop_
_atom_site_label
_atom_site_type_symbol
_atom_site_fract_x
_atom_site_fract_y
_atom_site_fract_z
I1 I 0.5000 0.0000 0.0000
Pb1 Pb 0.0000 0.0000 0.0000
I2 I 0.0000 0.5000 0.0000
H1 H 0.5000 0.5000 0.5000
I3 I 0.0000 0.0000 0.5000
# - DFT total energy: -2.069 eV per atom
# - Relative energy among the computed polymorphs: 630 meV per atom
# - Spin magnetization: 1.0 μB/f.u.



# 2
# HPbI PBE-GGA optimized geometry
data_HPbI
_cell_length_a 4.3790
_cell_length_b 6.4653
_cell_length_c 6.5097
_cell_angle_alpha 70.97
_cell_angle_beta 89.93
_cell_angle_gamma 90.22
_space_group_name_H-M_alt 'P 1'
_space_group_IT_number 1
_space_group_name_Hall 'P 1'
loop_
_atom_site_label
_atom_site_type_symbol
_atom_site_fract_x
_atom_site_fract_y
_atom_site_fract_z
H1 H 0.3723 0.9159 0.3324
I1 I 0.8707 0.5508 0.1382
I2 I 0.3745 0.1697 0.7492
H2 H 0.8729 0.8046 0.5549
Pb1 Pb 0.3702 0.7208 0.6757
Pb2 Pb 0.8751 0.9998 0.2117
# - DFT total energy: -3.005 eV per atom
# - Relative energy among the computed polymorphs: 0 meV per atom
# - Spin magnetization: 0.0 μB/f.u.



# 3
# HPbI2 PBE-GGA optimized geometry
data_HPbI2
_cell_length_a 5.6067
_cell_length_b 5.6067
_cell_length_c 5.6067
_cell_angle_alpha 60.00
_cell_angle_beta 60.00
_cell_angle_gamma 60.00
_space_group_name_H-M_alt 'P 1'
_space_group_IT_number 1
_space_group_name_Hall 'P 1'
loop_
_atom_site_label
_atom_site_type_symbol
_atom_site_fract_x
_atom_site_fract_y
_atom_site_fract_z
I1 I 0.7500 0.7500 0.7500
I2 I 0.2500 0.2500 0.2500
H1 H 0.0000 0.0000 0.0000
Pb1 Pb 0.5000 0.5000 0.5000
# - DFT total energy: -2.389 eV per atom
# - Spin magnetization: 1.0 μB/f.u.



# 4
# HPb3I PBE-GGA optimized geometry
data_HPb3I
_cell_length_a 6.0967
_cell_length_b 6.0967
_cell_length_c 6.0967
_cell_angle_alpha 90.00
_cell_angle_beta 90.00
_cell_angle_gamma 90.00
_space_group_name_H-M_alt 'P 1'
_space_group_IT_number 1
_space_group_name_Hall 'P 1'
loop_
_atom_site_label
_atom_site_type_symbol
_atom_site_fract_x
_atom_site_fract_y
_atom_site_fract_z
H1 H 0.5000 0.5000 0.5000
Pb1 Pb 0.5000 0.0000 0.0000
Pb2 Pb 0.0000 0.0000 0.5000
Pb3 Pb 0.0000 0.5000 0.0000
I1 I 0.0000 0.0000 0.0000
# - DFT total energy: -2.115 eV per atom
# - Relative energy among the computed polymorphs: 797 meV per atom
# - Spin magnetization: 0.7 μB/f.u.



# 5
# H3PbI PBE-GGA optimized geometry
data_H3PbI
_cell_length_a 4.2624
_cell_length_b 4.2624
_cell_length_c 4.2624
_cell_angle_alpha 90.00
_cell_angle_beta 90.00
_cell_angle_gamma 90.00
_space_group_name_H-M_alt 'P 1'
_space_group_IT_number 1
_space_group_name_Hall 'P 1'
loop_
_atom_site_label
_atom_site_type_symbol
_atom_site_fract_x
_atom_site_fract_y
_atom_site_fract_z
H1 H 0.0000 0.0000 0.5000
Pb1 Pb 0.0000 0.0000 0.0000
H2 H 0.0000 0.5000 0.0000
H3 H 0.5000 0.0000 0.0000
I1 I 0.5000 0.5000 0.5000
# - DFT total energy: -2.532 eV per atom
# - Relative energy among the computed polymorphs: 0 meV per atom
# - Spin magnetization: 0.0 μB/f.u.



# 6
# H3PbI PBE-GGA optimized geometry
data_H3PbI
_cell_length_a 4.2732
_cell_length_b 4.2732
_cell_length_c 4.2732
_cell_angle_alpha 90.00
_cell_angle_beta 90.00
_cell_angle_gamma 90.00
_space_group_name_H-M_alt 'P 1'
_space_group_IT_number 1
_space_group_name_Hall 'P 1'
loop_
_atom_site_label
_atom_site_type_symbol
_atom_site_fract_x
_atom_site_fract_y
_atom_site_fract_z
H1 H 0.0000 0.0000 0.5000
H2 H 0.5000 0.0000 0.0000
I1 I 0.0000 0.0000 0.0000
H3 H 0.0000 0.5000 0.0000
Pb1 Pb 0.5000 0.5000 0.5000
# - DFT total energy: -2.115 eV per atom
# - Relative energy among the computed polymorphs: 417 meV per atom
# - Spin magnetization: 0.0 μB/f.u.



# 7
# HPbI3 PBE-GGA optimized geometry
data_HPbI3
_cell_length_a 7.8401
_cell_length_b 6.4685
_cell_length_c 16.0036
_cell_angle_alpha 144.86
_cell_angle_beta 81.47
_cell_angle_gamma 111.15
_space_group_name_H-M_alt 'P 1'
_space_group_IT_number 1
_space_group_name_Hall 'P 1'
loop_
_atom_site_label
_atom_site_type_symbol
_atom_site_fract_x
_atom_site_fract_y
_atom_site_fract_z
I1 I 0.5053 0.2808 0.8203
Pb1 Pb 0.2056 0.4770 0.5040
I2 I 0.5387 0.2976 0.3338
I3 I 0.8714 0.6710 0.6771
H1 H 0.3302 0.6563 0.9092
I4 I 0.1725 0.9075 0.4770
I5 I 0.8386 0.6585 0.1715
I6 I 0.2054 0.9198 0.9826
H2 H 0.7138 0.9220 0.2448
Pb2 Pb 0.8384 0.1018 0.6502
# - DFT total energy: -2.699 eV per atom
# - Relative energy among the computed polymorphs: 0 meV per atom
# - Spin magnetization: 0.0 μB/f.u.



# 8
# HPbI2 PBE-GGA optimized geometry
data_HPbI2
_cell_length_a 4.4688
_cell_length_b 4.2582
_cell_length_c 8.0230
_cell_angle_alpha 95.31
_cell_angle_beta 89.11
_cell_angle_gamma 123.42
_space_group_name_H-M_alt 'P 1'
_space_group_IT_number 1
_space_group_name_Hall 'P 1'
loop_
_atom_site_label
_atom_site_type_symbol
_atom_site_fract_x
_atom_site_fract_y
_atom_site_fract_z
I1 I 0.2144 0.1822 0.8487
I2 I 0.9540 0.6673 0.2558
H1 H 0.0842 0.9247 0.0522
Pb1 Pb 0.5840 0.9247 0.5523
# - DFT total energy: -2.583 eV per atom
# - Spin magnetization: 0.0 μB/f.u.



# 9
# HPbI3 PBE-GGA optimized geometry
data_HPbI3
_cell_length_a 5.2723
_cell_length_b 5.2723
_cell_length_c 5.2723
_cell_angle_alpha 90.00
_cell_angle_beta 90.00
_cell_angle_gamma 90.00
_space_group_name_H-M_alt 'P 1'
_space_group_IT_number 1
_space_group_name_Hall 'P 1'
loop_
_atom_site_label
_atom_site_type_symbol
_atom_site_fract_x
_atom_site_fract_y
_atom_site_fract_z
I1 I 0.5000 0.0000 0.0000
I2 I 0.0000 0.0000 0.5000
Pb1 Pb 0.5000 0.5000 0.5000
H1 H 0.0000 0.0000 0.0000
I3 I 0.0000 0.5000 0.0000
# - DFT total energy: -2.047 eV per atom
# - Relative energy among the computed polymorphs: 652 meV per atom
# - Spin magnetization: 0.0 μB/f.u.



# 10
# HPbI2 PBE-GGA optimized geometry
data_HPbI2
_cell_length_a 8.0903
_cell_length_b 8.0903
_cell_length_c 7.2202
_cell_angle_alpha 55.93
_cell_angle_beta 55.93
_cell_angle_gamma 90.00
_space_group_name_H-M_alt 'P 1'
_space_group_IT_number 1
_space_group_name_Hall 'P 1'
loop_
_atom_site_label
_atom_site_type_symbol
_atom_site_fract_x
_atom_site_fract_y
_atom_site_fract_z
I1 I 0.8750 0.8579 0.7500
I2 I 0.3750 0.3921 0.7500
I3 I 0.1421 0.6250 0.2500
I4 I 0.6079 0.1250 0.2500
Pb1 Pb 0.0000 0.0000 0.0000
Pb2 Pb 0.7500 0.2500 0.5000
H1 H 0.2500 0.7500 0.5000
H2 H 0.5000 0.5000 0.0000
# - DFT total energy: -2.352 eV per atom
# - Spin magnetization: 1.0 μB/f.u.



# 11
# HPb2I PBE-GGA optimized geometry
data_HPb2I
_cell_length_a 6.1864
_cell_length_b 6.1864
_cell_length_c 7.9930
_cell_angle_alpha 67.23
_cell_angle_beta 67.23
_cell_angle_gamma 90.00
_space_group_name_H-M_alt 'P 1'
_space_group_IT_number 1
_space_group_name_Hall 'P 1'
loop_
_atom_site_label
_atom_site_type_symbol
_atom_site_fract_x
_atom_site_fract_y
_atom_site_fract_z
Pb1 Pb 0.8750 0.7219 0.7500
Pb2 Pb 0.2781 0.6250 0.2500
I1 I 0.0000 0.0000 0.0000
Pb3 Pb 0.4719 0.1250 0.2500
H1 H 0.5000 0.5000 0.0000
Pb4 Pb 0.3750 0.5281 0.7500
H2 H 0.2500 0.7500 0.5000
I2 I 0.7500 0.2500 0.5000
# - DFT total energy: -2.883 eV per atom
# - Relative energy among the computed polymorphs: 0 meV per atom
# - Spin magnetization: 0.0 μB/f.u.



# 12
# H4PbI PBE-GGA optimized geometry
data_H4PbI
_cell_length_a 12.9116
_cell_length_b 20.3550
_cell_length_c 11.3983
_cell_angle_alpha 26.76
_cell_angle_beta 29.08
_cell_angle_gamma 11.82
_space_group_name_H-M_alt 'P 1'
_space_group_IT_number 1
_space_group_name_Hall 'P 1'
loop_
_atom_site_label
_atom_site_type_symbol
_atom_site_fract_x
_atom_site_fract_y
_atom_site_fract_z
H1 H 0.7282 0.9859 0.5371
H2 H 0.4291 0.2264 0.0608
Pb1 Pb 0.7500 0.8660 0.2681
H3 H 0.5709 0.7736 0.9392
I1 I 0.7500 0.2941 0.4117
H4 H 0.7719 0.4769 0.5371
H5 H 0.2718 0.0141 0.4629
H6 H 0.2281 0.5231 0.4629
Pb2 Pb 0.2500 0.1340 0.7319
H7 H 0.9291 0.2872 0.9391
I2 I 0.2500 0.7059 0.5883
H8 H 0.0709 0.7128 0.0609
# - DFT total energy: -2.672 eV per atom
# - Spin magnetization: 0.0 μB/f.u.